1.
First-principles (GGA-PBE) data for a geometry-optimized YTe2As2 structure, as listed in Alexandria.

Values from the calculation:
For the excess energy over the best structure of this formula in the dataset, the calculation gives 244 meV/atom. For the density of states at the Fermi level, the calculation gives 3.884 states/eV/f.u. The volume is 143.0 Å³ per cell. The calculation puts the electronic total energy at -22.874 eV/cell. For the formation energy from raw total energies, the calculation gives -0.8 eV/f.u.

a b c (Å): 5.8924 5.8924 5.8924
angles (deg): 120.74 120.74 88.71
Closest atoms and distances in Å follow each position.
Element x y z (fractional)
Y1 0.0000 0.0000 0.0000  2 As 2.78
Te1 0.2500 0.7500 0.5000  4 As 2.99
Te2 0.7500 0.2500 0.5000  4 As 2.99
As1 0.6700 0.6700 0.0000  1 Y 2.78, 1 As 2.86, 4 Te 2.99
As2 0.3300 0.3300 0.0000  1 Y 2.78, 1 As 2.86, 4 Te 2.99

=====

2.
First-principles (GGA-PBE) data for a geometry-optimized CaZn8Pd4 structure, as listed in Alexandria.

Values from the calculation:
For the excess energy over the best structure of this formula in the dataset, the calculation gives 279 meV/atom. For the density of states at the Fermi level, the calculation gives 3.888 states/eV/f.u. The volume is 239.8 Å³ per cell. The calculation puts the electronic total energy at -35.062 eV/cell.

a b c (Å): 9.3646 9.3646 9.3646
angles (deg): 34.88 34.88 34.88
Closest atoms and distances in Å follow each position.
Element x y z (fractional)
Ca1 0.0000 0.0000 0.0000  6 Pd 2.81, 6 Zn 2.95
Zn1 0.7606 0.2598 0.2598  1 Pd 2.52, 4 Zn 2.80-2.81
Zn2 0.2598 0.2598 0.7606  1 Pd 2.52, 4 Zn 2.80-2.81
Zn3 0.2598 0.7606 0.2598  1 Pd 2.52, 4 Zn 2.80-2.81
Zn4 0.2538 0.2538 0.2538  3 Pd 2.65, 6 Zn 2.83
Zn5 0.7462 0.7462 0.7462  3 Pd 2.65, 6 Zn 2.83
Zn6 0.7402 0.7402 0.2394  1 Pd 2.52, 4 Zn 2.80-2.81
Zn7 0.7402 0.2394 0.7402  1 Pd 2.52, 4 Zn 2.80-2.81
Zn8 0.2394 0.7402 0.7402  1 Pd 2.52, 4 Zn 2.80-2.81
Pd1 0.5000 0.5000 0.5000  6 Zn 2.52
Pd2 0.5000 0.5000 0.0000  6 Zn 2.65-2.95, 2 Ca 2.81, 4 Pd 2.81
Pd3 0.0000 0.5000 0.5000  6 Zn 2.65-2.95, 4 Pd 2.81, 2 Ca 2.81
Pd4 0.5000 0.0000 0.5000  6 Zn 2.65-2.95, 4 Pd 2.81, 2 Ca 2.81

=====

3.
First-principles (GGA-PBE) data for a geometry-optimized GdScRuPb structure, as listed in Alexandria.

Values from the calculation:
For the density of states at the Fermi level, the calculation gives 2.372 states/eV/f.u. The volume is 88.9 Å³ per cell. The calculation puts the electronic total energy at -34.412 eV/cell.

a b c (Å): 5.0092 5.0092 5.0092
angles (deg): 60.00 60.00 60.00
Closest atoms and distances in Å follow each position.
Element x y z (fractional)
Pb1 0.2500 0.2500 0.2500  4 Gd 3.07, 4 Sc 3.07
Ru1 0.7500 0.7500 0.7500  4 Gd 3.07, 4 Sc 3.07
Gd1 0.0000 0.0000 0.0000  4 Ru 3.07, 4 Pb 3.07
Sc1 0.5000 0.5000 0.5000  4 Pb 3.07, 4 Ru 3.07

=====

4.
First-principles (GGA-PBE) data for a geometry-optimized Ac4In2S structure, as listed in Alexandria.

Values from the calculation:
For the excess energy over the best structure of this formula in the dataset, the calculation gives 0 meV/atom. For the density of states at the Fermi level, the calculation gives 7.355 states/eV/f.u. The volume is 251.2 Å³ per cell. The calculation puts the electronic total energy at -31.563 eV/cell. For the formation energy from raw total energies, the calculation gives -5.5 eV/f.u.

a b c (Å): 4.7261 7.0969 8.4160
angles (deg): 75.08 73.69 70.55
Closest atoms and distances in Å follow each position.
Element x y z (fractional)
Ac1 0.0849 0.1951 0.6351  1 S 3.00
Ac2 0.9151 0.8049 0.3649  1 S 3.00
Ac3 0.3318 0.2562 0.0801  2 S 3.06
Ac4 0.6682 0.7438 0.9199  2 S 3.06
In1 0.3760 0.5831 0.6648  1 In 3.07, 2 Ac 3.43
In2 0.6240 0.4169 0.3352  1 In 3.07, 2 Ac 3.43
S1 0.0000 0.0000 0.0000  6 Ac 3.00-3.06

=====

5.
First-principles (GGA-PBE) data for a geometry-optimized Tm4ScRu2 structure, as listed in Alexandria.

Values from the calculation:
For the density of states at the Fermi level, the calculation gives 6.677 states/eV/f.u. The volume is 334.5 Å³ per cell. The calculation puts the electronic total energy at -89.335 eV/cell.

a b c (Å): 6.1838 7.6555 7.6611
angles (deg): 112.73 90.00 90.00
Closest atoms and distances in Å follow each position.
Element x y z (fractional)
Tm1 0.5021 0.4151 0.7616  4 Ru 2.88-3.00, 2 Tm 3.07-3.12
Tm2 0.2500 0.2361 0.3206  2 Ru 2.67-2.86
Tm3 0.7500 0.7639 0.6794  2 Ru 2.67-2.86
Tm4 0.9979 0.4151 0.7616  4 Ru 2.88-3.00, 2 Tm 3.07-3.12
Tm5 0.7500 0.0218 0.3781  2 Ru 2.65-2.71
Tm6 0.0021 0.5849 0.2384  4 Ru 2.88-3.00, 2 Tm 3.07-3.12
Tm7 0.4979 0.5849 0.2384  4 Ru 2.88-3.00, 2 Tm 3.07-3.12
Tm8 0.2500 0.9782 0.6219  2 Ru 2.65-2.71
Sc1 0.2500 0.8331 0.9610  1 Ru 2.70
Sc2 0.7500 0.1669 0.0390  1 Ru 2.70
Ru1 0.2500 0.2504 0.9772  6 Tm 2.67-2.99
Ru2 0.7500 0.7496 0.0228  6 Tm 2.67-2.99
Ru3 0.7500 0.3796 0.4133  4 Tm 2.65-2.88, 1 Sc 2.70
Ru4 0.2500 0.6204 0.5867  4 Tm 2.65-2.88, 1 Sc 2.70

=====

6.
First-principles (GGA-PBE) data for a geometry-optimized La4CoRhI2 structure, as listed in Alexandria.

Values from the calculation:
For the density of states at the Fermi level, the calculation gives 2.617 states/eV/f.u. The volume is 250.3 Å³ per cell. The calculation puts the electronic total energy at -44.227 eV/cell. For the formation energy from raw total energies, the calculation gives -7.0 eV/f.u.

a b c (Å): 4.1732 7.2600 8.6047
angles (deg): 106.21 90.00 90.00
Closest atoms and distances in Å follow each position.
Element x y z (fractional)
La1 0.5000 0.2355 0.1852  1 Co 2.82, 2 Rh 2.88
La2 0.5000 0.7645 0.8148  1 Co 2.82, 2 Rh 2.88
La3 0.0000 0.2802 0.8175  2 Co 2.82, 1 Rh 2.90
La4 0.0000 0.7198 0.1825  2 Co 2.82, 1 Rh 2.90
Co1 0.5000 0.5000 0.0000  6 La 2.82
Rh1 0.0000 0.0000 0.0000  6 La 2.88-2.90
I1 0.5000 0.0000 0.5000  6 La 3.58
I2 0.0000 0.5000 0.5000  6 La 3.53

=====

7.
First-principles (GGA-PBE) data for a geometry-optimized YInPt2 structure, as listed in Alexandria.

Values from the calculation:
For the density of states at the Fermi level, the calculation gives 2.698 states/eV/f.u. The volume is 164.9 Å³ per cell. The calculation puts the electronic total energy at -50.307 eV/cell.

a b c (Å): 4.5904 4.5904 9.0370
angles (deg): 90.00 90.00 120.00
Closest atoms and distances in Å follow each position.
Element x y z (fractional)
Y1 0.6667 0.3333 0.7500  8 Pt 3.02-3.08
Y2 0.3333 0.6667 0.2500  8 Pt 3.02-3.08
In1 0.0000 0.0000 0.0000  6 Pt 2.77
In2 0.0000 0.0000 0.5000  6 Pt 2.77
Pt1 0.6667 0.3333 0.0907  3 In 2.77, 1 Pt 2.88, 4 Y 3.02-3.08
Pt2 0.3333 0.6667 0.9093  3 In 2.77, 1 Pt 2.88, 4 Y 3.02-3.08
Pt3 0.3333 0.6667 0.5907  3 In 2.77, 1 Pt 2.88, 4 Y 3.02-3.08
Pt4 0.6667 0.3333 0.4093  3 In 2.77, 1 Pt 2.88, 4 Y 3.02-3.08

=====

8.
First-principles (GGA-PBE) data for a geometry-optimized Tb2AlWN5 structure, as listed in Alexandria.

Values from the calculation:
For the density of states at the Fermi level, the calculation gives 0.352 states/eV/f.u. The volume is 214.7 Å³ per cell. The calculation puts the electronic total energy at -154.980 eV/cell. For the formation energy from raw total energies, the calculation gives -9.9 eV/f.u.

a b c (Å): 3.1824 6.8925 10.0608
angles (deg): 90.00 90.00 103.35
Closest atoms and distances in Å follow each position.
Element x y z (fractional)
Tb1 0.8715 0.7430 0.7858  6 N 2.34-2.57
Tb2 0.1096 0.2192 0.7037  5 N 2.33-2.58
Tb3 0.1285 0.2570 0.2858  6 N 2.34-2.57
Tb4 0.8904 0.7808 0.2037  5 N 2.33-2.58
Al1 0.5153 0.0307 0.9744  4 N 1.85-2.02
Al2 0.4847 0.9693 0.4744  4 N 1.85-2.02
W1 0.7790 0.5579 0.5062  6 N 1.95-2.17
W2 0.2210 0.4421 0.0062  6 N 1.95-2.17
N1 0.3666 0.7332 0.0039  1 W 1.95, 1 Al 2.02
N2 0.7016 0.4033 0.8742  2 W 2.09
N3 0.4998 0.9997 0.7884  1 Al 1.88
N4 0.2814 0.5628 0.6419  2 W 2.10
N5 0.9378 0.8756 0.5456  2 Al 1.85
N6 0.6334 0.2668 0.5039  1 W 1.95, 1 Al 2.02
N7 0.2984 0.5967 0.3742  2 W 2.09
N8 0.5002 0.0003 0.2884  1 Al 1.88
N9 0.7186 0.4372 0.1419  2 W 2.10
N10 0.0622 0.1244 0.0456  2 Al 1.85

=====

9.
First-principles (GGA-PBE) data for a geometry-optimized P4Ru structure, as listed in Alexandria.

Values from the calculation:
For the excess energy over the best structure of this formula in the dataset, the calculation gives 994 meV/atom. For the density of states at the Fermi level, the calculation gives 2.445 states/eV/f.u. The volume is 85.8 Å³ per cell. The calculation puts the electronic total energy at -28.179 eV/cell.

a b c (Å): 4.8129 4.8129 4.8129
angles (deg): 109.47 109.47 109.47
Closest atoms and distances in Å follow each position.
Element x y z (fractional)
P1 0.0000 0.5000 0.0000  2 Ru 2.41
P2 0.0000 0.0000 0.5000  2 Ru 2.41
P3 0.5000 0.5000 0.5000  2 Ru 2.41
P4 0.5000 0.0000 0.0000  2 Ru 2.41
Ru1 0.0000 0.0000 0.0000  8 P 2.41

=====

10.
First-principles (GGA-PBE) data for a geometry-optimized TbPr2Sm5Y structure, as listed in Alexandria.

Values from the calculation:
For the density of states at the Fermi level, the calculation gives 13.415 states/eV/f.u. The volume is 618.1 Å³ per cell. The calculation puts the electronic total energy at -83.684 eV/cell.

a b c (Å): 8.6991 8.6991 10.2249
angles (deg): 115.18 115.18 90.00
Closest atoms and distances in Å follow each position.
Element x y z (fractional)
Tb1 0.2500 0.2500 0.5000  8 Sm 3.57
Tb2 0.7500 0.7500 0.5000  8 Sm 3.57
Pr1 0.1201 0.3799 0.0000  1 Pr 2.96, 2 Sm 3.08
Pr2 0.6201 0.1201 0.0000  1 Pr 2.96, 2 Sm 3.08
Pr3 0.3799 0.8799 0.0000  1 Pr 2.96, 2 Sm 3.08
Pr4 0.8799 0.6201 0.0000  1 Pr 2.96, 2 Sm 3.08
Sm1 0.9264 0.4264 0.2842  1 Pr 3.08, 1 Y 3.19
Sm2 0.6422 0.1422 0.7158  1 Pr 3.08, 1 Y 3.19
Sm3 0.0736 0.5736 0.7158  1 Pr 3.08, 1 Y 3.19
Sm4 0.1422 0.0736 0.7158  1 Pr 3.08, 1 Y 3.19
Sm5 0.5736 0.6422 0.7158  1 Pr 3.08, 1 Y 3.19
Sm6 0.8578 0.9264 0.2842  1 Pr 3.08, 1 Y 3.19
Sm7 0.4264 0.3578 0.2842  1 Pr 3.08, 1 Y 3.19
Sm8 0.3578 0.8578 0.2842  1 Pr 3.08, 1 Y 3.19
Sm9 0.5000 0.5000 0.0000  4 Pr 3.47, 8 Sm 3.88
Sm10 0.0000 0.0000 0.0000  4 Pr 3.47, 8 Sm 3.88
Y1 0.2500 0.7500 0.5000  4 Sm 3.19
Y2 0.7500 0.2500 0.5000  4 Sm 3.19